## Mg2CdAs2 (PBEsol)

Data for an optimized crystal structure of Mg2CdAs2.

Properties
ΔE_f, eV per atom: -0.252
Energy above the most stable polymorph in this dataset, eV per atom: 0.0000
V, Å³/atom: 22.33

Unit cell a=4.7991 b=4.7991 c=9.6970 alpha=90.00 beta=90.00 gamma=90.00
Atoms (fractional coordinates):
Mg 0.0000 0.5000 0.2500
Mg 0.0000 0.5000 0.7500
Mg 0.5000 0.0000 0.2500
Mg 0.5000 0.0000 0.7500
Cd 0.0000 0.0000 0.0000
Cd 0.5000 0.5000 0.5000
As 0.0000 0.0000 0.3746
As 0.0000 0.0000 0.6254
As 0.5000 0.5000 0.1254
As 0.5000 0.5000 0.8746